First-principles (PBE) data for crystalline Cs2CuTe at its relaxed geometry, as listed in the Alexandria database.

```
Cs2CuTe
1.0
0.0000 4.4564 4.4564
4.4564 0.0000 4.4564
4.4564 4.4564 0.0000
Cs Cu Te
2 1 1
direct
0.2500 0.2500 0.2500
0.7500 0.7500 0.7500
0.0000 0.0000 0.0000
0.5000 0.5000 0.5000
```

## Properties
Its space-group type is Fm-3m, No. 225. As for the total energy: -2.356 eV per atom. For the density, the calculation gives 4.29 g/cm³.



First-principles (PBE) data for crystalline MgNiS3 at its relaxed geometry, as listed in the Alexandria database.

```
MgNiS3
1.0
4.4644 0.0000 0.0000
0.0000 4.4644 0.0000
0.0000 0.0000 4.4644
Mg Ni S
1 1 3
direct
0.0000 0.0000 0.0000
0.5000 0.5000 0.5000
0.0000 0.5000 0.5000
0.5000 0.0000 0.5000
0.5000 0.5000 0.0000
```

## Properties
Its space-group type is Pm-3m, No. 221. As for the total energy: -3.954 eV per atom. For the density, the calculation gives 3.34 g/cm³.



First-principles (PBE) data for crystalline Y2ZnInCo at its relaxed geometry, as listed in the Alexandria database.

```
Y2ZnInCo
1.0
5.6621 0.0000 0.0000
0.0000 5.6621 0.0000
0.0000 0.0000 4.6067
Y Zn In Co
2 1 1 1
direct
0.0000 0.5000 0.0000
0.5000 0.0000 0.0000
0.0000 0.0000 0.5000
0.5000 0.5000 0.0000
0.5000 0.5000 0.5000
```

## Properties
Its space-group type is P4/mmm, No. 123. For the density, the calculation gives 4.69 g/cm³. The formation energy is 673 meV per atom.



First-principles (PBE) data for crystalline LaTlSeCl2 at its relaxed geometry, as listed in the Alexandria database.

```
LaTlSeCl2
1.0
5.5876 0.0000 0.0000
0.0000 5.5876 0.0000
0.0000 0.0000 5.8075
La Tl Se Cl
1 1 1 2
direct
0.0000 0.0000 0.0000
0.5000 0.5000 0.5000
0.0000 0.0000 0.5000
0.0000 0.5000 0.0000
0.5000 0.0000 0.0000
```

## Properties
Its space-group type is P4/mmm, No. 123. As for the total energy: -4.507 eV per atom. For the density, the calculation gives 4.52 g/cm³.



First-principles (PBE) data for crystalline MnBe17Ni at its relaxed geometry, as listed in the Alexandria database.

```
MnBe17Ni
1.0
3.5707 2.0615 3.5527
-3.5707 2.0615 3.5527
0.0000 -4.1230 3.5527
Mn Be Ni
1 17 1
direct
0.0000 0.0000 0.0000
0.0160 0.0160 0.5003
0.0160 0.5003 0.0160
0.1634 0.6752 0.6752
0.3209 0.3209 0.8241
0.3209 0.8241 0.3209
0.3603 0.6657 0.9778
0.3603 0.9778 0.6657
0.5003 0.0160 0.0160
0.5665 0.5665 0.5665
0.6657 0.3603 0.9778
0.6657 0.9778 0.3603
0.6752 0.1634 0.6752
0.6752 0.6752 0.1634
0.7676 0.7676 0.7676
0.8241 0.3209 0.3209
0.9778 0.3603 0.6657
0.9778 0.6657 0.3603
0.3372 0.3372 0.3372
```

## Properties
Its space-group type is R3m, No. 160. For the density, the calculation gives 2.82 g/cm³. The formation energy is -81 meV per atom.